## Pm6Ir2RuBr3 (PBE-GGA)

Data for an optimized crystal structure of Pm6Ir2RuBr3.

Lattice parameters (Å, degrees): 7.1137 12.3201 8.1339 90.00 106.95 90.00
Last column: nearest neighbours and their distance in Å.
Space group C2/m (No. 12)
Unique sites:
Pm  0.2294  0.1645  0.1951  1 Ru 2.79, 2 Ir 2.83
Pm  0.2363  0.5000  0.1954  1 Ru 2.79, 2 Ir 2.83
Ir  0.0000  0.3333  0.0000  6 Pm 2.83
Ru  0.0000  0.0000  0.0000  6 Pm 2.79
Br  0.0000  0.1652  0.5000  6 Pm 3.33-3.39
Br  0.0000  0.5000  0.5000  6 Pm 3.34-3.37

Theoretical density in g/cm3: 7.77
Formation energy (no corrections) in eV/atom: -1.00